A relaxed structure of Pr3Zn4In4. Source: Alexandria, functional PBE.

a = 4.127 Å, b = 4.632 Å, c = 14.355 Å
α = 99.26°, β = 98.26°, γ = 90.04°
Fractional coordinates of all 11 atoms:
Pr 0.000 0.000 0.000
Pr 0.146 0.647 0.293
Pr 0.854 0.353 0.707
Zn 0.313 0.811 0.625
Zn 0.457 0.454 0.910
Zn 0.543 0.546 0.090
Zn 0.687 0.189 0.375
In 0.254 0.253 0.508
In 0.408 0.906 0.813
In 0.592 0.094 0.187
In 0.746 0.747 0.492

Computed properties:
As for the space-group type: P-1, No. 2. The value obtained for the formation energy is -0.38 eV per atom. For the density of states at the Fermi level, the calculation gives 0.64 states/eV per atom.